Entry from Alexandria via LeMat-Bulk: YBe2As at its PBEsol-relaxed geometry (meta-GGA SCAN).

Cell lengths 3.3040, 3.3040, 6.0678 Å; angles 90.00, 90.00, 103.26 degrees
Fractional coordinates of all 4 atoms:
Y  0.0000  0.0000  0.5017
Be  0.0000  0.0000  0.9871
Be  0.5000  0.5000  0.8209
As  0.5000  0.5000  0.1902

---

Entry from Alexandria via LeMat-Bulk: YBeAs2 at its PBEsol-relaxed geometry (meta-GGA SCAN).

Cell lengths 3.8010, 4.3296, 4.3296 Å; angles 90.00, 90.00, 90.00 degrees
Fractional coordinates of all 4 atoms:
Y  0.5000  0.0000  0.0000
Be  0.5000  0.5000  0.5000
As  0.0000  0.0000  0.5000
As  0.0000  0.5000  0.0000

---

Entry from Alexandria via LeMat-Bulk: YBeAs at its PBEsol-relaxed geometry (meta-GGA SCAN).

Output
The energy above the lowest structure with this stoichiometry comes out at 0 meV per atom.

Cell lengths 3.8205, 3.8205, 3.9823 Å; angles 90.00, 90.00, 120.00 degrees
Fractional coordinates of all 3 atoms:
Y  0.6667  0.3333  0.5000
Be  0.3333  0.6667  0.0000
As  0.0000  0.0000  0.0000

---

Entry from Alexandria via LeMat-Bulk: Y2BeAs at its PBEsol-relaxed geometry (meta-GGA SCAN).

Output
The energy above the lowest structure with this stoichiometry comes out at 0 meV per atom.

Cell lengths 3.7839, 4.1491, 5.6245 Å; angles 111.64, 90.00, 90.00 degrees
Each line ends with the local moment (μB).
Fractional coordinates of all 4 atoms:
Y  0.5000  0.9804  0.9607  0.05
Y  0.0000  0.2675  0.5349  0.05
Be  0.5000  0.6939  0.3879  -0.01
As  0.0000  0.5582  0.1165  0.00

---

| no. | formation enthalpy at 0 K (eV/atom) | DFT total energy (eV per atom) |
| --- | --- | --- |
| 1 | -0.063 | -14.248 |
| 2 | -0.416 | -18.561 |
| 3 | -0.962 | -18.424 |
| 4 | -0.840 | -20.898 |